1.
This record from Alexandria describes a relaxed CsRbCaPt2 crystal. The functional is PBE.

a b c (Å): 5.701 5.701 5.663
angles (deg): 90.00 90.00 90.00
Fractional coordinates of all 5 atoms:
1 Cs 0.000 0.000 0.000
2 Rb 0.500 0.500 0.500
3 Ca 0.000 0.000 0.500
4 Pt 0.000 0.500 0.000
5 Pt 0.500 0.000 0.000

---

2.
This record from Alexandria describes a relaxed LiAl6Ir2 crystal. The functional is PBE.

a b c (Å): 8.063 7.248 4.769
angles (deg): 81.46 62.74 35.79
Fractional coordinates of all 9 atoms:
1 Li 0.000 0.000 0.000
2 Al 0.006 0.328 0.672
3 Al 0.328 0.006 0.994
4 Al 0.340 0.660 0.340
5 Al 0.660 0.340 0.660
6 Al 0.672 0.994 0.006
7 Al 0.994 0.672 0.328
8 Ir 0.338 0.338 0.662
9 Ir 0.662 0.662 0.338

---

3.
This record from Alexandria describes a relaxed La3ThH8 crystal. The functional is PBE.

a b c (Å): 5.582 5.582 5.582
angles (deg): 90.00 90.00 90.00
Fractional coordinates of all 12 atoms:
1 La 0.000 0.000 0.500
2 La 0.000 0.500 0.000
3 La 0.500 0.000 0.000
4 Th 0.500 0.500 0.500
5 H 0.257 0.257 0.257
6 H 0.257 0.257 0.743
7 H 0.257 0.743 0.257
8 H 0.257 0.743 0.743
9 H 0.743 0.257 0.257
10 H 0.743 0.257 0.743
11 H 0.743 0.743 0.257
12 H 0.743 0.743 0.743

---

4.
This record from Alexandria describes a relaxed Cu2Pt crystal. The functional is PBE.

a b c (Å): 6.491 2.746 8.992
angles (deg): 90.00 94.81 90.00
Fractional coordinates of all 12 atoms:
1 Cu 0.011 0.250 0.381
2 Cu 0.012 0.750 0.133
3 Cu 0.306 0.250 0.704
4 Cu 0.333 0.750 0.476
5 Cu 0.667 0.250 0.524
6 Cu 0.694 0.750 0.296
7 Cu 0.988 0.250 0.867
8 Cu 0.989 0.750 0.619
9 Pt 0.317 0.750 0.956
10 Pt 0.347 0.250 0.231
11 Pt 0.653 0.750 0.769
12 Pt 0.683 0.250 0.044

---

Summary of final energy in eV per formula unit
-10.7, -46.9, -56.5, -14.5
(order as listed above)